Record 1
Below is a geometry-optimized K5Cd2O structure, with properties calculated at the PBE level.

Space group = No. 107
Raw formation energy = -0.36 eV/atom

a b c (Å): 7.788 7.788 7.788
angles (deg): 98.95 98.95 133.53
Sites, in units of the cell vectors:
K 0.000 0.000 0.000
K 0.324 0.324 0.648
K 0.324 0.675 0.000
K 0.675 0.324 0.000
K 0.675 0.675 0.352
Cd 0.248 0.748 0.500
Cd 0.748 0.248 0.500
O 0.499 0.499 0.000

=====

Record 2
Below is a geometry-optimized AgHg2Rh structure, with properties calculated at the PBE level.

Energy of formation = 0.2487 eV per atom
Space group = No. 216

a b c (Å): 4.721 4.721 4.721
angles (deg): 60.00 60.00 60.00
Sites, in units of the cell vectors:
Ag 0.000 0.000 0.000
Hg 0.500 0.500 0.500
Hg 0.750 0.750 0.750
Rh 0.250 0.250 0.250

=====

Record 3
Below is a geometry-optimized Bi2SbP2 structure, with properties calculated at the PBE level.

Space group = No. 139
Raw formation energy = 0.34 eV/atom

a b c (Å): 9.209 9.209 9.209
angles (deg): 156.51 156.51 33.46
Sites, in units of the cell vectors:
Bi 0.109 0.109 0.000
Bi 0.891 0.891 0.000
Sb 0.500 0.500 0.000
P 0.250 0.750 0.500
P 0.750 0.250 0.500

=====

Record 4
Below is a geometry-optimized LiMgRh2 structure, with properties calculated at the PBE level.

Energy of formation = -0.2542 eV per atom
Space group = No. 10

a b c (Å): 2.752 4.133 5.134
angles (deg): 90.00 100.86 90.00
Sites, in units of the cell vectors:
Li 0.000 0.000 0.000
Mg 0.500 0.000 0.500
Rh 0.178 0.500 0.770
Rh 0.822 0.500 0.230

=====

Record 5
Below is a geometry-optimized La2PrCu2Ge2 structure, with properties calculated at the PBE level.

Energy of formation = -0.5057 eV per atom
Space group = No. 166

a b c (Å): 10.045 10.045 10.045
angles (deg): 24.99 24.99 24.99
Sites, in units of the cell vectors:
La 0.133 0.133 0.133
La 0.867 0.867 0.867
Pr 0.000 0.000 0.000
Cu 0.403 0.403 0.403
Cu 0.597 0.597 0.597
Ge 0.264 0.264 0.264
Ge 0.736 0.736 0.736

=====

Record 6
Below is a geometry-optimized TbPuCl6 structure, with properties calculated at the PBE level.

Space group = No. 148
Raw formation energy = -2.06 eV/atom

a b c (Å): 7.429 7.429 7.429
angles (deg): 54.22 54.22 54.22
Sites, in units of the cell vectors:
Tb 0.000 0.000 0.000
Pu 0.500 0.500 0.500
Cl 0.100 0.394 0.750
Cl 0.250 0.900 0.606
Cl 0.394 0.750 0.100
Cl 0.606 0.250 0.900
Cl 0.750 0.100 0.394
Cl 0.900 0.606 0.250

=====

Record 7
Below is a geometry-optimized Hg4S2F3 structure, with properties calculated at the PBE level.

Space group = No. 15
Raw formation energy = -0.73 eV/atom

a b c (Å): 7.695 7.695 6.918
angles (deg): 99.96 99.96 95.25
Sites, in units of the cell vectors:
Hg 0.084 0.777 0.907
Hg 0.223 0.916 0.593
Hg 0.306 0.354 0.495
Hg 0.354 0.306 0.995
Hg 0.646 0.694 0.005
Hg 0.694 0.646 0.505
Hg 0.777 0.084 0.407
Hg 0.916 0.223 0.093
S 0.175 0.469 0.203
S 0.469 0.175 0.703
S 0.531 0.825 0.297
S 0.825 0.531 0.797
F 0.030 0.216 0.611
F 0.216 0.030 0.111
F 0.362 0.638 0.750
F 0.638 0.362 0.250
F 0.784 0.970 0.889
F 0.970 0.784 0.389

=====

Record 8
Below is a geometry-optimized Pu4PtRh2 structure, with properties calculated at the PBE level.

Energy of formation = -0.4826 eV per atom
Space group = No. 122

a b c (Å): 7.418 7.418 7.418
angles (deg): 109.10 109.10 110.21
Sites, in units of the cell vectors:
Pu 0.118 0.512 0.747
Pu 0.121 0.016 0.753
Pu 0.262 0.368 0.247
Pu 0.488 0.234 0.606
Pu 0.629 0.882 0.394
Pu 0.632 0.879 0.894
Pu 0.766 0.371 0.253
Pu 0.984 0.738 0.106
Pt 0.250 0.750 0.500
Pt 0.500 0.500 0.000
Rh 0.006 0.125 0.381
Rh 0.375 0.994 0.119
Rh 0.744 0.625 0.619
Rh 0.875 0.256 0.881

=====

Which D(E_F) belongs to each record? In order, 4.59 2.01 2.62 3.11 3.30 9.22 6.51 61.48 states/eV per cell.
Which uncorrected energy belongs to each record? In order, -1.90 -2.45 -4.20 -4.81 -5.09 -5.81 -2.41 -11.64 eV/atom.
Which total moment belongs to each record? In order, 0.000 0.000 0.000 0.000 0.000 5.000 0.000 41.987 μB/cell.